Entry 1:
Cs2BiSb2, optimized geometry, DFT PBE; E_tot = -2.545 eV/atom
1.0
-3.680 -1.862 3.188
-3.059 -0.983 -4.105
-0.242 -8.635 -1.061
Cs Sb Bi
2 2 1
direct
0.750 0.250 0.500
0.250 0.750 0.500
0.415 0.415 0.171
0.585 0.585 0.829
0.000 0.000 0.000

Entry 2:
Cs2BiSb, optimized geometry, DFT PBE; E_tot = -2.357 eV/atom
1.0
0.000 4.531 4.531
4.531 0.000 4.531
4.531 4.531 0.000
Cs Sb Bi
2 1 1
direct
0.250 0.250 0.250
0.750 0.750 0.750
0.000 0.000 0.000
0.500 0.500 0.500

Number 1: V 214.26 Å³/cell, magnetic moment 0.0 μB/cell, uncorrected formation energy 1.11 eV/f.u.. Number 2: V 186.06 Å³/cell, magnetic moment 0.0 μB/cell, uncorrected formation energy 0.28 eV/f.u..